--- P ---
VASP calculation (PBE) on a relaxed structure of PWBr2.

Unit cell a=3.522 b=3.253 c=8.166 alpha=90.00 beta=99.36 gamma=90.00
Space group Pm (No. 6)
Unique sites:
P: 0.000 0.000 0.000 x1
W: 0.434 0.500 0.909 x1
Br: 0.365 0.000 0.654 x1
Br: 0.663 0.500 0.237 x1

Properties
The value obtained for the density of states at the Fermi level is 2.15 states/eV/cell. The total magnetic moment is 0.00 μB per cell.

***

--- Q ---
VASP calculation (PBE) on a relaxed structure of PWBr2.

Unit cell a=6.577 b=6.577 c=6.577 alpha=90.00 beta=90.00 gamma=90.00
Space group Fm-3m (No. 225)
Unique sites:
P: 0.000 0.000 0.000 x4
W: 0.000 0.000 0.500 x4
Br: 0.250 0.250 0.250 x8

Properties
The value obtained for the density of states at the Fermi level is 8.60 states/eV/cell. The total magnetic moment is 0.00 μB per cell.

***

--- R ---
VASP calculation (PBE) on a relaxed structure of PWBr2.

Unit cell a=6.608 b=6.608 c=6.608 alpha=90.00 beta=90.00 gamma=90.00
Space group F-43m (No. 216)
Unique sites:
P: 0.000 0.000 0.000 x4
W: 0.250 0.250 0.250 x4
Br: 0.000 0.000 0.500 x4
Br: 0.250 0.250 0.750 x4

Properties
The value obtained for the density of states at the Fermi level is 7.81 states/eV/cell. The total magnetic moment is 0.00 μB per cell.

***

Which of them is most stable, and which least? Most stable: P; least stable: Q.

***

--- P ---
VASP calculation (PBE) on a relaxed structure of PWBr2.

Unit cell a=3.3486 b=3.3486 c=27.1261 alpha=90.00 beta=90.00 gamma=120.00
Space group R3m (No. 160, hexagonal axes)
Unique sites:
P: 0.0000 0.0000 0.0000 x3
W: 0.0000 0.0000 0.2808 x3
Br: 0.0000 0.0000 0.5432 x3
Br: 0.0000 0.0000 0.7502 x3

Properties
The value obtained for the density of states at the Fermi level is 16.55 states/eV/cell. The total magnetic moment is 0.00 μB per cell.

***

--- Q ---
VASP calculation (PBE) on a relaxed structure of PWBr2.

Unit cell a=9.509 b=9.509 c=4.649 alpha=90.00 beta=90.00 gamma=90.00
Space group I-42d (No. 122)
Unique sites:
P: 0.000 0.000 0.000 x4
W: 0.000 0.000 0.500 x4
Br: 0.108 0.250 0.625 x8

Properties
The value obtained for the density of states at the Fermi level is 0.13 states/eV/cell. The total magnetic moment is 4.00 μB per cell.

***

Which of them is most stable, and which least? Most stable: P; least stable: Q.